# DyIn2Ru (PBE-GGA, relaxed)
# DFT formation energy ... -0.175 eV per atom
# Calculated density ... 9.65 g/cm3
# DOS at the Fermi energy ... 0.60 states/eV per atom
# Crystal system ... tetragonal
data_DyIn2Ru
_cell_length_a 3.351
_cell_length_b 3.351
_cell_length_c 7.554
_cell_angle_alpha 90.00
_cell_angle_beta 90.00
_cell_angle_gamma 90.00
_space_group_name_H-M_alt 'P 4/m m m'
_space_group_IT_number 123
_space_group_name_Hall '-P 4 2'
loop_
_atom_site_label
_atom_site_fract_x
_atom_site_fract_y
_atom_site_fract_z
_atom_site_occupancy
Dy1 0.000 0.000 0.000 1
In1 0.500 0.500 0.297 1
Ru1 0.000 0.000 0.500 1



# DyInRu (PBE-GGA, relaxed)
# DFT formation energy ... -0.187 eV per atom
# Calculated density ... 9.57 g/cm3
# DOS at the Fermi energy ... 0.72 states/eV per atom
# Crystal system ... hexagonal
data_DyInRu
_cell_length_a 4.6356
_cell_length_b 4.6356
_cell_length_c 3.5292
_cell_angle_alpha 90.00
_cell_angle_beta 90.00
_cell_angle_gamma 120.00
_space_group_name_H-M_alt 'P -6 m 2'
_space_group_IT_number 187
_space_group_name_Hall 'P -6 2'
loop_
_atom_site_label
_atom_site_fract_x
_atom_site_fract_y
_atom_site_fract_z
_atom_site_occupancy
Dy1 0.0000 0.0000 0.0000 1
In1 0.3333 0.6667 0.5000 1
Ru1 0.6667 0.3333 0.5000 1



# Dy6InRu5 (PBE-GGA, relaxed)
# DFT formation energy ... -0.363 eV per atom
# Calculated density ... 10.70 g/cm3
# DOS at the Fermi energy ... 0.42 states/eV per atom
# Crystal system ... orthorhombic
data_Dy6InRu5
_cell_length_a 4.867
_cell_length_b 14.592
_cell_length_c 6.972
_cell_angle_alpha 90.00
_cell_angle_beta 90.00
_cell_angle_gamma 90.00
_space_group_name_H-M_alt 'C m m m'
_space_group_IT_number 65
_space_group_name_Hall '-C 2 2'
loop_
_atom_site_label
_atom_site_fract_x
_atom_site_fract_y
_atom_site_fract_z
_atom_site_occupancy
Dy1 0.000 0.000 0.232 1
Dy2 0.000 0.327 0.244 1
In1 0.000 0.500 0.500 1
Ru1 0.000 0.162 0.500 1
Ru2 0.000 0.167 0.000 1
Ru3 0.000 0.500 0.000 1



# Dy8In2Ru (PBE-GGA, relaxed)
# DFT formation energy ... -0.273 eV per atom
# Calculated density ... 8.89 g/cm3
# DOS at the Fermi energy ... 0.90 states/eV per atom
# Crystal system ... monoclinic
data_Dy8In2Ru
_cell_length_a 17.298
_cell_length_b 5.477
_cell_length_c 6.967
_cell_angle_alpha 90.00
_cell_angle_beta 112.68
_cell_angle_gamma 90.00
_space_group_name_H-M_alt 'C 1 2/m 1'
_space_group_IT_number 12
loop_
_space_group_symop_operation_xyz
'x,y,z'
'-x,-y,-z'
'-x,y,-z'
'x,-y,z'
'x+1/2,y+1/2,z'
'-x+1/2,-y+1/2,-z'
'-x+1/2,y+1/2,-z'
'x+1/2,-y+1/2,z'
loop_
_atom_site_label
_atom_site_fract_x
_atom_site_fract_y
_atom_site_fract_z
_atom_site_occupancy
Dy1 0.007 0.000 0.266 1
Dy2 0.110 0.500 0.900 1
Dy3 0.137 0.500 0.402 1
Dy4 0.193 0.000 0.732 1
In1 0.184 0.000 0.189 1
Ru1 0.000 0.500 0.500 1



Q: Number 1 is which compound?
A: DyIn2Ru



Repeat the fourth record exactly.
# Dy8In2Ru (PBE-GGA, relaxed)
# DFT formation energy ... -0.273 eV per atom
# Calculated density ... 8.89 g/cm3
# DOS at the Fermi energy ... 0.90 states/eV per atom
# Crystal system ... monoclinic
data_Dy8In2Ru
_cell_length_a 17.298
_cell_length_b 5.477
_cell_length_c 6.967
_cell_angle_alpha 90.00
_cell_angle_beta 112.68
_cell_angle_gamma 90.00
_space_group_name_H-M_alt 'C 1 2/m 1'
_space_group_IT_number 12
loop_
_space_group_symop_operation_xyz
'x,y,z'
'-x,-y,-z'
'-x,y,-z'
'x,-y,z'
'x+1/2,y+1/2,z'
'-x+1/2,-y+1/2,-z'
'-x+1/2,y+1/2,-z'
'x+1/2,-y+1/2,z'
loop_
_atom_site_label
_atom_site_fract_x
_atom_site_fract_y
_atom_site_fract_z
_atom_site_occupancy
Dy1 0.007 0.000 0.266 1
Dy2 0.110 0.500 0.900 1
Dy3 0.137 0.500 0.402 1
Dy4 0.193 0.000 0.732 1
In1 0.184 0.000 0.189 1
Ru1 0.000 0.500 0.500 1



Q: Which of these has the lowest DOS at the Fermi energy?
A: Dy6InRu5